Entry 1:
# Ti2BeZn (PBE, optimized geometry)
data_Ti2BeZn
_chemical_formula_sum 'Ti2 Be1 Zn1'
_space_group_name_H-M_alt 'P 1'
_space_group_IT_number 1
_cell_length_a 3.011
_cell_length_b 3.011
_cell_length_c 6.217
_cell_angle_alpha 90.00
_cell_angle_beta 90.00
_cell_angle_gamma 90.00
loop_
_space_group_symop_operation_xyz
'x,y,z'
loop_
_atom_site_label
_atom_site_type_symbol
_atom_site_fract_x
_atom_site_fract_y
_atom_site_fract_z
Ti1 Ti 0.000 0.000 0.233
Ti2 Ti 0.000 0.000 0.767
Zn1 Zn 0.500 0.500 0.500
Be1 Be 0.500 0.500 0.000
# Final energy, eV per atom: -5.34
# Formation energy from the elements, eV per formula unit: -0.58
# Calculated density, g/cm3: 5.0
# Magnetization, μB per cell: 0.00
# Crystal system: tetragonal
# Fermi-level density of states, states/eV per atom: 0.357

=====

Entry 2:
# Zr2TiBe9 (PBE, optimized geometry)
data_Zr2TiBe9
_chemical_formula_sum 'Zr2 Ti1 Be9'
_space_group_name_H-M_alt 'P 1'
_space_group_IT_number 1
_cell_length_a 4.641
_cell_length_b 4.641
_cell_length_c 7.773
_cell_angle_alpha 72.63
_cell_angle_beta 72.63
_cell_angle_gamma 60.00
loop_
_space_group_symop_operation_xyz
'x,y,z'
loop_
_atom_site_label
_atom_site_type_symbol
_atom_site_fract_x
_atom_site_fract_y
_atom_site_fract_z
Be1 Be 0.422 0.422 0.233
Be2 Be 0.422 0.923 0.233
Be3 Be 0.334 0.334 0.998
Be4 Be 0.077 0.578 0.767
Be5 Be 0.578 0.077 0.767
Be6 Be 0.666 0.666 0.002
Be7 Be 0.578 0.578 0.767
Be8 Be 0.500 0.500 0.500
Be9 Be 0.923 0.422 0.233
Zr1 Zr 0.861 0.861 0.418
Zr2 Zr 0.139 0.139 0.582
Ti1 Ti 0.000 0.000 0.000
# Final energy, eV per atom: -5.01
# Formation energy from the elements, eV per formula unit: -1.57
# Calculated density, g/cm3: 3.8
# Magnetization, μB per cell: 1.83
# Crystal system: trigonal
# Fermi-level density of states, states/eV per atom: 0.600

=====

Entry 3:
# ZrTiBe (PBE, optimized geometry)
data_ZrTiBe
_chemical_formula_sum 'Zr3 Ti3 Be3'
_space_group_name_H-M_alt 'P 1'
_space_group_IT_number 1
_cell_length_a 5.466
_cell_length_b 5.466
_cell_length_c 6.779
_cell_angle_alpha 66.22
_cell_angle_beta 66.22
_cell_angle_gamma 60.00
loop_
_space_group_symop_operation_xyz
'x,y,z'
loop_
_atom_site_label
_atom_site_type_symbol
_atom_site_fract_x
_atom_site_fract_y
_atom_site_fract_z
Ti1 Ti 0.238 0.665 0.277
Ti2 Ti 0.665 0.819 0.277
Ti3 Ti 0.819 0.238 0.277
Zr1 Zr 0.753 0.399 0.743
Zr2 Zr 0.105 0.753 0.743
Zr3 Zr 0.399 0.105 0.743
Be1 Be 0.194 0.194 0.419
Be2 Be 0.668 0.668 0.997
Be3 Be 0.308 0.308 0.077
# Energy relative to the lowest polymorph listed for this composition, eV per atom: 0.264
# Final energy, eV per atom: -6.48
# Formation energy from the elements, eV per formula unit: 0.73
# Calculated density, g/cm3: 4.8
# Magnetization, μB per cell: 0.00
# Crystal system: trigonal
# Fermi-level density of states, states/eV per atom: 1.166